VASP calculation (PBE-GGA) on crystalline Pu5InBi6 at its relaxed geometry.

Formation enthalpy at 0 K   -3.4 eV/f.u.
Space-group type   No. 2

Cell lengths 3.3960, 9.1719, 11.7613 Å; angles 75.11, 89.93, 89.90 degrees
With the nearest neighbours (Å) after each atom.
Atoms (fractional coordinates):
Pu 0.0000 0.0000 0.0000  8 Bi 3.36-3.37, 2 Pu 3.40
Pu 0.0005 0.3455 0.1580  8 Bi 3.34-3.43, 2 Pu 3.40
Pu 0.0008 0.6989 0.3460  8 Bi 3.34-3.51, 2 Pu 3.40, 1 In 3.67
Pu 0.9992 0.3011 0.6540  8 Bi 3.34-3.51, 2 Pu 3.40, 1 In 3.67
Pu 0.9995 0.6545 0.8420  8 Bi 3.34-3.43, 2 Pu 3.40
In 0.0000 0.0000 0.5000  2 In 3.40, 8 Bi 3.44-3.61, 2 Pu 3.67
Bi 0.4994 0.9786 0.7578  6 Pu 3.34-3.37, 2 Bi 3.40, 2 In 3.44
Bi 0.4998 0.3271 0.9089  8 Pu 3.36-3.51, 2 Bi 3.40
Bi 0.5001 0.3570 0.4022  6 Pu 3.34-3.48, 2 Bi 3.40, 2 In 3.60-3.61
Bi 0.4999 0.6430 0.5978  6 Pu 3.34-3.48, 2 Bi 3.40, 2 In 3.60-3.61
Bi 0.5002 0.6729 0.0911  8 Pu 3.36-3.51, 2 Bi 3.40
Bi 0.5006 0.0214 0.2422  6 Pu 3.34-3.37, 2 Bi 3.40, 2 In 3.44



VASP calculation (PBE-GGA) on crystalline Mg3ZrO4 at its relaxed geometry.

ΔE_f (raw)   -18.5 eV/f.u.
Space-group type   No. 221

Cell lengths 4.4502, 4.4502, 4.4502 Å; angles 90.00, 90.00, 90.00 degrees
With the nearest neighbours (Å) after each atom.
Atoms (fractional coordinates):
Mg 0.0000 0.0000 0.5000  6 O 2.23
Mg 0.0000 0.5000 0.0000  6 O 2.23
Mg 0.5000 0.0000 0.0000  6 O 2.23
Zr 0.5000 0.5000 0.5000  6 O 2.23
O 0.0000 0.0000 0.0000  6 Mg 2.23
O 0.0000 0.5000 0.5000  2 Zr 2.23, 4 Mg 2.23
O 0.5000 0.0000 0.5000  2 Zr 2.23, 4 Mg 2.23
O 0.5000 0.5000 0.0000  2 Zr 2.23, 4 Mg 2.23



VASP calculation (PBE-GGA) on crystalline AlCu3Pd3 at its relaxed geometry.

Formation enthalpy at 0 K   -1.9 eV/f.u.
Space-group type   No. 65

Cell lengths 5.9431, 5.9431, 5.7949 Å; angles 90.00, 90.00, 91.25 degrees
With the nearest neighbours (Å) after each atom.
Atoms (fractional coordinates):
Al 0.2500 0.7500 0.0000  6 Pd 2.52-2.59, 2 Cu 2.73
Al 0.7500 0.2500 0.0000  6 Pd 2.52-2.59, 2 Cu 2.73
Cu 0.2072 0.2072 0.0000  6 Pd 2.59-2.85, 2 Al 2.73
Cu 0.2109 0.7891 0.5000  6 Pd 2.56-2.84, 2 Cu 2.57
Cu 0.2208 0.2208 0.5000  2 Cu 2.57, 6 Pd 2.59-2.72
Cu 0.7792 0.7792 0.5000  2 Cu 2.57, 6 Pd 2.59-2.72
Cu 0.7891 0.2109 0.5000  6 Pd 2.56-2.84, 2 Cu 2.57
Cu 0.7928 0.7928 0.0000  6 Pd 2.59-2.85, 2 Al 2.73
Pd 0.0000 0.5000 0.2472  2 Al 2.52, 6 Cu 2.56-2.59
Pd 0.0000 0.5000 0.7528  2 Al 2.52, 6 Cu 2.56-2.59
Pd 0.5000 0.0000 0.2472  2 Al 2.52, 6 Cu 2.56-2.59
Pd 0.5000 0.0000 0.7528  2 Al 2.52, 6 Cu 2.56-2.59
Pd 0.5000 0.5000 0.2548  2 Al 2.59, 6 Cu 2.72-2.85, 1 Pd 2.84
Pd 0.5000 0.5000 0.7452  2 Al 2.59, 6 Cu 2.72-2.85, 1 Pd 2.84



VASP calculation (PBE-GGA) on crystalline SiTeMoI2 at its relaxed geometry.

ΔE_f (raw)   4.9 eV/f.u.
Space-group type   No. 123
E above lowest polymorph   159 meV per atom

Cell lengths 5.4601, 5.4601, 5.4760 Å; angles 90.00, 90.00, 90.00 degrees
With the nearest neighbours (Å) after each atom.
Atoms (fractional coordinates):
Si 0.0000 0.0000 0.0000  4 I 2.73, 2 Te 2.74
Te 0.0000 0.0000 0.5000  2 Si 2.74
Mo 0.5000 0.5000 0.5000  4 Te 3.86, 8 I 3.87
I 0.0000 0.5000 0.0000  2 Si 2.73
I 0.5000 0.0000 0.0000  2 Si 2.73



VASP calculation (PBE-GGA) on crystalline Cd2InHg8 at its relaxed geometry.

Formation enthalpy at 0 K   0.5 eV/f.u.
Space-group type   No. 12
E above lowest polymorph   13 meV per atom

Cell lengths 8.7602, 8.7602, 5.9292 Å; angles 95.05, 95.05, 41.44 degrees
With the nearest neighbours (Å) after each atom.
Atoms (fractional coordinates):
Cd 0.1878 0.1878 0.3729  8 Hg 2.99-3.30
Cd 0.8122 0.8122 0.6271  8 Hg 2.99-3.30
In 0.5000 0.5000 0.0000  6 Hg 3.01-3.30
Hg 0.0061 0.0061 0.2546  4 Hg 2.94-3.20, 1 Cd 2.99
Hg 0.0816 0.5891 0.1434  5 Hg 3.05-3.26, 3 Cd 3.28-3.41, 1 In 3.30
Hg 0.3628 0.3628 0.6255  1 In 3.01, 3 Cd 3.11-3.21, 2 Hg 3.26
Hg 0.4109 0.9184 0.8566  5 Hg 3.05-3.26, 3 Cd 3.28-3.41, 1 In 3.30
Hg 0.5891 0.0816 0.1434  5 Hg 3.05-3.26, 3 Cd 3.28-3.41, 1 In 3.30
Hg 0.6372 0.6372 0.3745  1 In 3.01, 3 Cd 3.11-3.21, 2 Hg 3.26
Hg 0.9184 0.4109 0.8566  5 Hg 3.05-3.26, 3 Cd 3.28-3.41, 1 In 3.30
Hg 0.9939 0.9939 0.7454  4 Hg 2.94-3.20, 1 Cd 2.99



VASP calculation (PBE-GGA) on crystalline Hg2OsBr at its relaxed geometry.

ΔE_f (raw)   4.3 eV/f.u.
Space-group type   No. 122
E above lowest polymorph   499 meV per atom

Cell lengths 9.7553, 9.7553, 9.7553 Å; angles 149.35, 149.35, 43.89 degrees
With the nearest neighbours (Å) after each atom.
Atoms (fractional coordinates):
Hg 0.0235 0.6250 0.8985  2 Os 2.71, 2 Hg 3.00
Hg 0.3750 0.2735 0.3985  2 Os 2.71, 2 Hg 3.00
Hg 0.7265 0.1250 0.1015  2 Os 2.71, 2 Hg 3.00
Hg 0.8750 0.9765 0.6015  2 Os 2.71, 2 Hg 3.00
Os 0.0000 0.0000 0.0000  4 Hg 2.71
Os 0.7500 0.2500 0.5000  4 Hg 2.71
Br 0.2500 0.7500 0.5000  4 Hg 3.17
Br 0.5000 0.5000 0.0000  4 Hg 3.17



VASP calculation (PBE-GGA) on crystalline Sm6Ni2AuBr3 at its relaxed geometry.

ΔE_f (raw)   -10.3 eV/f.u.
Space-group type   No. 12

Cell lengths 7.1295, 7.1295, 7.9687 Å; angles 98.58, 98.58, 120.00 degrees
With the nearest neighbours (Å) after each atom.
Atoms (fractional coordinates):
Sm 0.0785 0.4339 0.8016  2 Ni 2.75, 1 Au 2.95
Sm 0.2101 0.2101 0.1976  2 Ni 2.75, 1 Au 2.95
Sm 0.4339 0.0785 0.8016  2 Ni 2.75, 1 Au 2.95
Sm 0.5661 0.9215 0.1984  2 Ni 2.75, 1 Au 2.95
Sm 0.7899 0.7899 0.8024  2 Ni 2.75, 1 Au 2.95
Sm 0.9215 0.5661 0.1984  2 Ni 2.75, 1 Au 2.95
Ni 0.1667 0.8333 0.0000  6 Sm 2.75
Ni 0.8333 0.1667 0.0000  6 Sm 2.75
Au 0.5000 0.5000 0.0000  6 Sm 2.95
Br 0.0000 0.0000 0.5000  6 Sm 3.20-3.36
Br 0.3338 0.6662 0.5000  6 Sm 3.19-3.36
Br 0.6662 0.3338 0.5000  6 Sm 3.19-3.36



VASP calculation (PBE-GGA) on crystalline PmDy2Te at its relaxed geometry.

ΔE_f (raw)   -2.1 eV/f.u.
Space-group type   No. 160
E above lowest polymorph   129 meV per atom

Cell lengths 10.1305, 10.1305, 10.1305 Å; angles 22.19, 22.19, 22.19 degrees
With the nearest neighbours (Å) after each atom.
Atoms (fractional coordinates):
Pm 0.0000 0.0000 0.0000  6 Dy 3.61-3.63, 6 Pm 3.90
Dy 0.5714 0.5714 0.5714  3 Te 3.08
Dy 0.7626 0.7626 0.7626  3 Te 3.08
Te 0.1669 0.1669 0.1669  6 Dy 3.08



no.,V (Å³/f.u.),total magnetic moment (Bohr magnetons per cell),total DFT energy (no corrections) (eV/cell)
1,354.04,5.74,-101.12
2,88.13,0.27,-51.70
3,102.31,0.00,-66.95
4,163.26,4.40,-17.56
5,299.82,0.00,-6.53
6,120.27,5.48,-18.38
7,334.80,0.00,-58.48
8,130.06,0.01,-19.23